Density functional theory data (PBE+U) for a relaxed CrGaCuF6 crystal.

a = 5.395 Å, b = 5.395 Å, c = 9.195 Å
α = 90.00°, β = 90.00°, γ = 120.00°
Fractional coordinates of all 18 atoms:
F (0.662, 0.029, 0.365)
F (0.632, 0.971, 0.865)
F (0.632, 0.662, 0.635)
F (0.029, 0.368, 0.635)
F (0.368, 0.029, 0.135)
F (0.338, 0.368, 0.865)
F (0.662, 0.632, 0.135)
F (0.971, 0.338, 0.135)
F (0.368, 0.338, 0.365)
F (0.338, 0.971, 0.635)
F (0.971, 0.632, 0.365)
F (0.029, 0.662, 0.865)
Cu (0.000, 0.000, 0.000)
Cu (0.000, 0.000, 0.500)
Ga (0.333, 0.667, 0.750)
Ga (0.667, 0.333, 0.250)
Cr (0.333, 0.667, 0.250)
Cr (0.667, 0.333, 0.750)

- total magnetic moment (μB/f.u.) = 3.99
- E_tot (eV/atom) = -4.966